1.
# Hf2HPb

Hf2HPb after structural relaxation (PBE, the Alexandria database).

Lattice parameters (Å, degrees): 3.322 3.322 7.732 77.59 77.59 60.00
Fractional coordinates of all 4 atoms:
Hf: 0.279 0.279 0.164
Hf: 0.721 0.721 0.836
H: 0.000 0.000 0.000
Pb: 0.500 0.500 0.500

Computed properties:
space-group type	R-3m
energy	-27.18	eV per cell

***

2.
# AlTlIn2

AlTlIn2 after structural relaxation (PBE, the Alexandria database).

Lattice parameters (Å, degrees): 10.996 10.996 10.996 17.29 17.29 17.29
Fractional coordinates of all 4 atoms:
In: 0.253 0.253 0.253
In: 0.006 0.006 0.006
Al: 0.747 0.747 0.747
Tl: 0.494 0.494 0.494

Computed properties:
space-group type	R3m
energy	-11.11	eV per cell
formation energy	0.12	eV per atom

***

Number 1: energy above the lowest structure with this stoichiometry 0.111 eV per atom. Number 2: energy above the lowest structure with this stoichiometry 0.026 eV per atom.